No. 1
This record from Alexandria via LeMat-Bulk describes crystalline SrCuPt2 at its relaxed geometry. The functional is PBE.

The structure in CIF format:
```
data_SrCuPt2
_chemical_formula_sum 'Sr1 Cu1 Pt2'
_symmetry_space_group_name_H-M 'P m m 2'
_symmetry_Int_Tables_number 25
_cell_length_a 2.933
_cell_length_b 3.983
_cell_length_c 6.532
_cell_angle_alpha 90.00
_cell_angle_beta 90.00
_cell_angle_gamma 90.00
loop_
_symmetry_equiv_pos_as_xyz
'x,y,z'
'-x,-y,z'
'-x,y,z'
'x,-y,z'
loop_
_atom_site_label
_atom_site_type_symbol
_atom_site_fract_x
_atom_site_fract_y
_atom_site_fract_z
Sr1 Sr 0.000 0.000 0.000
Cu1 Cu 0.500 0.500 0.331
Pt1 Pt 0.000 0.000 0.479
Pt2 Pt 0.500 0.500 0.718
```

Computed properties:
* density: 11.78 g cm⁻³
* energy of formation: -0.166 eV per atom

No. 2
This record from Alexandria via LeMat-Bulk describes crystalline Er4AlOs at its relaxed geometry. The functional is PBE.

The structure in CIF format:
```
data_Er4AlOs
_chemical_formula_sum 'Er16 Al4 Os4'
_symmetry_space_group_name_H-M 'C 1 2/c 1'
_symmetry_Int_Tables_number 15
_cell_length_a 8.528
_cell_length_b 12.841
_cell_length_c 6.043
_cell_angle_alpha 90.00
_cell_angle_beta 108.05
_cell_angle_gamma 90.00
loop_
_symmetry_equiv_pos_as_xyz
'x,y,z'
'-x,-y,-z'
'-x,y,-z+1/2'
'x,-y,z+1/2'
'x+1/2,y+1/2,z'
'-x+1/2,-y+1/2,-z'
'-x+1/2,y+1/2,-z+1/2'
'x+1/2,-y+1/2,z+1/2'
loop_
_atom_site_label
_atom_site_type_symbol
_atom_site_fract_x
_atom_site_fract_y
_atom_site_fract_z
Er1 Er 0.109 0.171 0.049
Er2 Er 0.216 0.426 0.388
Al1 Al 0.000 0.375 0.750
Os1 Os 0.000 0.001 0.250
```

Computed properties:
* relative energy among the computed polymorphs: 0.028 eV per atom
* density: 9.36 g cm⁻³
* energy of formation: -0.298 eV per atom

No. 3
This record from Alexandria via LeMat-Bulk describes crystalline MnIn4 at its relaxed geometry. The functional is PBE.

The structure in CIF format:
```
data_MnIn4
_chemical_formula_sum 'Mn2 In8'
_symmetry_space_group_name_H-M 'I m -3 m'
_symmetry_Int_Tables_number 229
_symmetry_space_group_name_Hall '-I 4 2 3'
_cell_length_a 6.189
_cell_length_b 6.189
_cell_length_c 6.189
_cell_angle_alpha 90.00
_cell_angle_beta 90.00
_cell_angle_gamma 90.00
loop_
_atom_site_label
_atom_site_type_symbol
_atom_site_fract_x
_atom_site_fract_y
_atom_site_fract_z
Mn1 Mn 0.000 0.000 0.000
In1 In 0.250 0.250 0.250
```

Computed properties:
* relative energy among the computed polymorphs: 0.000 eV per atom
* density: 7.20 g cm⁻³
* energy of formation: 0.088 eV per atom

No. 4
This record from Alexandria via LeMat-Bulk describes crystalline MgAl2Pb2 at its relaxed geometry. The functional is PBE.

The structure in CIF format:
```
data_MgAl2Pb2
_chemical_formula_sum 'Mg2 Al4 Pb4'
_symmetry_space_group_name_H-M 'P 4/m b m'
_symmetry_Int_Tables_number 127
_symmetry_space_group_name_Hall '-P 4 2ab'
_cell_length_a 7.608
_cell_length_b 7.608
_cell_length_c 4.305
_cell_angle_alpha 90.00
_cell_angle_beta 90.00
_cell_angle_gamma 90.00
loop_
_atom_site_label
_atom_site_type_symbol
_atom_site_fract_x
_atom_site_fract_y
_atom_site_fract_z
Mg1 Mg 0.000 0.000 0.000
Al1 Al 0.124 0.376 0.000
Pb1 Pb 0.180 0.680 0.500
```

Computed properties:
* relative energy among the computed polymorphs: 0.000 eV per atom
* density: 6.57 g cm⁻³
* energy of formation: 0.167 eV per atom

No. 5
This record from Alexandria via LeMat-Bulk describes crystalline SmPuSc2P4 at its relaxed geometry. The functional is PBE.

The structure in CIF format:
```
data_SmPuSc2P4
_chemical_formula_sum 'Sm1 Pu1 Sc2 P4'
_symmetry_space_group_name_H-M 'P 1 2/m 1'
_symmetry_Int_Tables_number 10
_cell_length_a 6.723
_cell_length_b 3.919
_cell_length_c 6.775
_cell_angle_alpha 90.00
_cell_angle_beta 109.61
_cell_angle_gamma 90.00
loop_
_symmetry_equiv_pos_as_xyz
'x,y,z'
'-x,-y,-z'
'-x,y,-z'
'x,-y,z'
loop_
_atom_site_label
_atom_site_type_symbol
_atom_site_fract_x
_atom_site_fract_y
_atom_site_fract_z
Sm1 Sm 0.000 0.000 0.000
Pu1 Pu 0.000 0.500 0.500
Sc1 Sc 0.500 0.000 0.500
Sc2 Sc 0.500 0.500 0.000
P1 P 0.265 0.000 0.750
P2 P 0.268 0.500 0.261
```

Computed properties:
* density: 6.01 g cm⁻³
* energy of formation: -1.397 eV per atom

No. 6
This record from Alexandria via LeMat-Bulk describes crystalline ReSnPt2 at its relaxed geometry. The functional is PBE.

The structure in CIF format:
```
data_ReSnPt2
_chemical_formula_sum 'Re4 Sn4 Pt8'
_symmetry_space_group_name_H-M 'I -4 2 d'
_symmetry_Int_Tables_number 122
_symmetry_space_group_name_Hall 'I -4 2bw'
_cell_length_a 5.000
_cell_length_b 5.000
_cell_length_c 14.667
_cell_angle_alpha 90.00
_cell_angle_beta 90.00
_cell_angle_gamma 90.00
loop_
_atom_site_label
_atom_site_type_symbol
_atom_site_fract_x
_atom_site_fract_y
_atom_site_fract_z
Re1 Re 0.000 0.000 0.000
Sn1 Sn 0.000 0.000 0.500
Pt1 Pt 0.212 0.250 0.125
```

Computed properties:
* density: 12.59 g cm⁻³
* energy of formation: 0.543 eV per atom

No. 7
This record from Alexandria via LeMat-Bulk describes crystalline Sr2CaTcIr at its relaxed geometry. The functional is PBE.

The structure in CIF format:
```
data_Sr2CaTcIr
_chemical_formula_sum 'Sr2 Ca1 Tc1 Ir1'
_symmetry_space_group_name_H-M 'P 4/m m m'
_symmetry_Int_Tables_number 123
_symmetry_space_group_name_Hall '-P 4 2'
_cell_length_a 5.718
_cell_length_b 5.718
_cell_length_c 4.798
_cell_angle_alpha 90.00
_cell_angle_beta 90.00
_cell_angle_gamma 90.00
loop_
_atom_site_label
_atom_site_type_symbol
_atom_site_fract_x
_atom_site_fract_y
_atom_site_fract_z
Sr1 Sr 0.000 0.500 0.000
Ca1 Ca 0.000 0.000 0.500
Tc1 Tc 0.500 0.500 0.000
Ir1 Ir 0.500 0.500 0.500
```

Computed properties:
* density: 5.35 g cm⁻³
* energy of formation: 0.544 eV per atom

No. 8
This record from Alexandria via LeMat-Bulk describes crystalline Pr2DyRuN4 at its relaxed geometry. The functional is PBE.

The structure in CIF format:
```
data_Pr2DyRuN4
_chemical_formula_sum 'Pr8 Dy4 Ru4 N16'
_symmetry_space_group_name_H-M 'C m c m'
_symmetry_Int_Tables_number 63
_symmetry_space_group_name_Hall '-C 2c 2'
_cell_length_a 3.463
_cell_length_b 11.964
_cell_length_c 12.245
_cell_angle_alpha 90.00
_cell_angle_beta 90.00
_cell_angle_gamma 90.00
loop_
_atom_site_label
_atom_site_type_symbol
_atom_site_fract_x
_atom_site_fract_y
_atom_site_fract_z
Pr1 Pr 0.000 0.133 0.043
Dy1 Dy 0.000 0.371 0.250
Ru1 Ru 0.000 0.356 0.750
N1 N 0.000 0.063 0.250
N2 N 0.000 0.225 0.640
N3 N 0.000 0.500 0.000
```

Computed properties:
* formation energy (no corrections): -604 kJ/mol of formula units
* density: 7.87 g cm⁻³

no.,E (eV per formula unit)
1,-18.525
2,-35.010
3,-19.683
4,-15.663
5,-64.528
6,-26.361
7,-21.874
8,-62.995